# GGA-PBE TiPd6Pt2, relaxed
# E_tot   -5.821 eV/atom
# Relative energy among the computed polymorphs   3.38 kcal/mol of atoms
# Volume   15.93 Å³ per atom
data_TiPd6Pt2
_chemical_formula_sum 'Ti2 Pd12 Pt4'
_cell_length_a 13.678
_cell_length_b 2.749
_cell_length_c 9.259
_cell_angle_alpha 90.00
_cell_angle_beta 124.57
_cell_angle_gamma 90.00
_symmetry_space_group_name_H-M 'C 1 2/m 1'
_symmetry_Int_Tables_number 12
_symmetry_space_group_name_Hall '-C 2y'
loop_
_atom_site_label
_atom_site_fract_x
_atom_site_fract_y
_atom_site_fract_z
Ti1 0.000 0.000 0.000
Pd1 0.062 0.000 0.795
Pd2 0.148 0.500 0.308
Pd3 0.235 0.000 0.136
Pt1 0.114 0.000 0.545



# GGA-PBE TiPd4Pt5, relaxed
# E_tot   -5.992 eV/atom
# Volume   17.13 Å³ per atom
data_TiPd4Pt5
_chemical_formula_sum 'Ti2 Pd8 Pt10'
_cell_length_a 4.596
_cell_length_b 8.397
_cell_length_c 8.877
_cell_angle_alpha 90.00
_cell_angle_beta 90.00
_cell_angle_gamma 90.00
_symmetry_space_group_name_H-M 'I m m m'
_symmetry_Int_Tables_number 71
_symmetry_space_group_name_Hall '-I 2 2'
loop_
_atom_site_label
_atom_site_fract_x
_atom_site_fract_y
_atom_site_fract_z
Ti1 0.000 0.000 0.000
Pd1 0.000 0.336 0.000
Pd2 0.000 0.500 0.302
Pt1 0.000 0.000 0.500
Pt2 0.000 0.166 0.250



# GGA-PBE TiPd2Pt2, relaxed
# E_tot   -6.425 eV/atom
# Relative energy among the computed polymorphs   0.00 kcal/mol of atoms
# Volume   16.51 Å³ per atom
data_TiPd2Pt2
_chemical_formula_sum 'Ti2 Pd4 Pt4'
_cell_length_a 4.3307
_cell_length_b 4.3307
_cell_length_c 10.1663
_cell_angle_alpha 90.00
_cell_angle_beta 90.00
_cell_angle_gamma 120.00
_symmetry_space_group_name_H-M 'P 63/m m c'
_symmetry_Int_Tables_number 194
_symmetry_space_group_name_Hall '-P 6c 2c'
loop_
_atom_site_label
_atom_site_fract_x
_atom_site_fract_y
_atom_site_fract_z
Ti1 0.0000 0.0000 0.2500
Pd1 0.3333 0.6667 0.1074
Pt1 0.0000 0.0000 0.0000
Pt2 0.3333 0.6667 0.7500



# GGA-PBE Ti5Pd2Pt2, relaxed
# E_tot   -7.434 eV/atom
# Volume   17.03 Å³ per atom
data_Ti5Pd2Pt2
_chemical_formula_sum 'Ti20 Pd8 Pt8'
_cell_length_a 14.439
_cell_length_b 6.203
_cell_length_c 6.848
_cell_angle_alpha 90.00
_cell_angle_beta 90.00
_cell_angle_gamma 90.00
_symmetry_space_group_name_H-M 'C m c e'
_symmetry_Int_Tables_number 64
_symmetry_space_group_name_Hall '-C 2ac 2'
loop_
_atom_site_label
_atom_site_fract_x
_atom_site_fract_y
_atom_site_fract_z
Ti1 0.000 0.000 0.000
Ti2 0.138 0.180 0.320
Pd1 0.218 0.000 0.000
Pt1 0.000 0.130 0.648



# GGA-PBE Ti4PdPt, relaxed
# E_tot   -7.347 eV/atom
# Relative energy among the computed polymorphs   8.47 kcal/mol of atoms
# Volume   19.00 Å³ per atom
data_Ti4PdPt
_chemical_formula_sum 'Ti4 Pd1 Pt1'
_cell_length_a 4.338
_cell_length_b 4.338
_cell_length_c 6.057
_cell_angle_alpha 90.00
_cell_angle_beta 90.00
_cell_angle_gamma 90.00
_symmetry_space_group_name_H-M 'P 4/m m m'
_symmetry_Int_Tables_number 123
_symmetry_space_group_name_Hall '-P 4 2'
loop_
_atom_site_label
_atom_site_fract_x
_atom_site_fract_y
_atom_site_fract_z
Ti1 0.000 0.500 0.248
Pd1 0.000 0.000 0.500
Pt1 0.500 0.500 0.000



# GGA-PBE TiPd4Pt7, relaxed
# E_tot   -6.071 eV/atom
# Volume   16.10 Å³ per atom
data_TiPd4Pt7
_chemical_formula_sum 'Ti1 Pd4 Pt7'
_cell_length_a 5.024
_cell_length_b 5.464
_cell_length_c 7.282
_cell_angle_alpha 76.35
_cell_angle_beta 84.02
_cell_angle_gamma 88.10
_symmetry_space_group_name_H-M 'P -1'
_symmetry_Int_Tables_number 2
_symmetry_space_group_name_Hall '-P 1'
loop_
_atom_site_label
_atom_site_fract_x
_atom_site_fract_y
_atom_site_fract_z
Ti1 0.000 0.000 0.000
Pd1 0.293 0.413 0.701
Pd2 0.298 0.918 0.679
Pt1 0.192 0.286 0.372
Pt2 0.201 0.803 0.332
Pt3 0.240 0.562 0.029
Pt4 0.500 0.000 0.000



# GGA-PBE TiPd2Pt2, relaxed
# E_tot   -6.385 eV/atom
# Relative energy among the computed polymorphs   0.93 kcal/mol of atoms
# Volume   16.78 Å³ per atom
data_TiPd2Pt2
_chemical_formula_sum 'Ti2 Pd4 Pt4'
_cell_length_a 6.544
_cell_length_b 6.544
_cell_length_c 3.918
_cell_angle_alpha 90.00
_cell_angle_beta 90.00
_cell_angle_gamma 90.00
_symmetry_space_group_name_H-M 'P 4/m b m'
_symmetry_Int_Tables_number 127
_symmetry_space_group_name_Hall '-P 4 2ab'
loop_
_atom_site_label
_atom_site_fract_x
_atom_site_fract_y
_atom_site_fract_z
Ti1 0.000 0.000 0.000
Pd1 0.159 0.341 0.500
Pt1 0.142 0.642 0.000



# GGA-PBE Ti3Pd3Pt, relaxed
# E_tot   -7.052 eV/atom
# Volume   16.36 Å³ per atom
data_Ti3Pd3Pt
_chemical_formula_sum 'Ti12 Pd12 Pt4'
_cell_length_a 6.309
_cell_length_b 8.185
_cell_length_c 8.909
_cell_angle_alpha 90.00
_cell_angle_beta 95.18
_cell_angle_gamma 90.00
_symmetry_space_group_name_H-M 'C 1 2/m 1'
_symmetry_Int_Tables_number 12
_symmetry_space_group_name_Hall '-C 2y'
loop_
_atom_site_label
_atom_site_fract_x
_atom_site_fract_y
_atom_site_fract_z
Ti1 0.169 0.197 0.276
Ti2 0.219 0.000 0.954
Pd1 0.000 0.256 0.000
Pd2 0.000 0.325 0.500
Pd3 0.134 0.000 0.628
Pt1 0.031 0.500 0.780



> volume of number 4 (Ti5Pd2Pt2)?

17.03 Å³ per atom



> What is the formula in the fourth record?

Ti5Pd2Pt2



> What is the formula in the second record?

TiPd4Pt5